The following is a GGA-PBE calculation of crystalline SrSbTe2Au at its relaxed geometry, from the Alexandria database.

```
data_SrSbTe2Au
_chemical_formula_sum 'Sr1 Sb1 Te2 Au1'
_symmetry_space_group_name_H-M 'P 4/m m m'
_symmetry_Int_Tables_number 123
_symmetry_space_group_name_Hall '-P 4 2'
_cell_length_a 6.037
_cell_length_b 6.037
_cell_length_c 6.137
_cell_angle_alpha 90.00
_cell_angle_beta 90.00
_cell_angle_gamma 90.00
loop_
_atom_site_label
_atom_site_fract_x
_atom_site_fract_y
_atom_site_fract_z
_atom_site_occupancy
Sr1 0.000 0.000 0.000 1
Sb1 0.000 0.000 0.500 1
Te1 0.000 0.500 0.000 1
Au1 0.500 0.500 0.500 1
```

As for the density of states at the Fermi level: 7.0 states/eV per cell. The value obtained for the formation energy without anion corrections is 719 meV/atom. The total moment is 0.0 μB per formula unit. As for the crystal system: tetragonal. As for the energy above the most stable polymorph in this dataset: 988.5 meV per atom.